1) Below is an optimized crystal structure of MgCrCo, with properties calculated at the PBEsol level.

Computed properties:
The density of states at the Fermi level comes out at 0.714 states/eV per atom. For the volume, the calculation gives 37 Å³ per cell. The calculation puts the size of the total moment at 0.001 μB per formula unit.

Cell: 4.0682 4.0682 2.6037 Å, 90.00 90.00 120.00°
Space group P3m1 (No. 156)
Asymmetric unit:
Mg (0.0000, 0.0000, 0.0000) [1 per cell]
Cr (0.6667, 0.3333, 0.5830) [1 per cell]
Co (0.3333, 0.6667, 0.3820) [1 per cell]

=====

2) Below is an optimized crystal structure of MgCrCo, with properties calculated at the PBEsol level.

Computed properties:
The density of states at the Fermi level comes out at 1.525 states/eV per atom. For the volume, the calculation gives 172 Å³ per cell. The calculation puts the size of the total moment at 0.528 μB per formula unit.

Cell: 5.560 5.560 5.560 Å, 90.00 90.00 90.00°
Space group F-43m (No. 216)
Asymmetric unit:
Mg (0.000, 0.000, 0.000) [4 per cell]
Cr (0.000, 0.000, 0.500) [4 per cell]
Co (0.250, 0.250, 0.250) [4 per cell]

=====

Most stable of them? 1).